1.
Compound: PmNpIr
Source: the Alexandria database
Functional: GGA-PBE
Structure: optimized geometry

Cell lengths 3.5992, 3.5992, 6.0368 Å; angles 107.34, 107.34, 90.00 degrees
Closest atoms and distances in Å follow each position.
Fractional coordinates of all 3 atoms:
Np (0.3000, 0.3000, 0.6000)  4 Ir 2.80
Ir (0.6931, 0.6931, 0.3863)  4 Np 2.80
Pm (0.0069, 0.0069, 0.0137)  5 Np 3.21-3.41, 5 Ir 3.26-3.43

Computed properties:
DFT total energy: -27.0 eV per cell
mass density: 13.4 g cm⁻³
ΔH_f (0 K): -0.136 eV per atom
crystal system: tetragonal

2.
Compound: CuAg2Pt
Source: the Alexandria database
Functional: GGA-PBE
Structure: optimized geometry

Cell lengths 2.8469, 2.8469, 7.8157 Å; angles 90.00, 90.00, 90.00 degrees
Closest atoms and distances in Å follow each position.
Fractional coordinates of all 4 atoms:
Cu (0.0000, 0.0000, 0.5095)  4 Pt 2.63, 4 Ag 2.74, 4 Cu 2.85
Ag (0.0000, 0.0000, 0.9934)  8 Ag 2.85-2.96, 4 Pt 2.90
Ag (0.5000, 0.5000, 0.2709)  4 Cu 2.74, 8 Ag 2.85-2.96
Pt (0.5000, 0.5000, 0.7263)  4 Cu 2.63, 4 Pt 2.85, 4 Ag 2.90

Computed properties:
DFT total energy: -15.9 eV per cell
mass density: 12.4 g cm⁻³
ΔH_f (0 K): -0.020 eV per atom
crystal system: tetragonal

Look up the DFT total energy of the first one. -27.0 eV per cell

Number 1 is which compound? PmNpIr